VASP calculation (GGA-PBE) on crystalline NaCu3F8 at its relaxed geometry.

Results
The uncorrected formation energy comes out at -1.574 eV per atom.

The structure in POSCAR format:
```
NaCu3F8
1.0
5.811 0.000 0.000
-2.905 5.032 0.000
0.000 0.000 6.202
Na Cu F
1 3 8
direct
0.000 0.000 0.000 Na
0.000 0.000 0.500 Cu
0.333 0.667 0.781 Cu
0.667 0.333 0.219 Cu
0.150 0.846 0.691 F
0.154 0.304 0.691 F
0.304 0.150 0.309 F
0.333 0.667 0.074 F
0.667 0.333 0.926 F
0.696 0.850 0.691 F
0.846 0.696 0.309 F
0.850 0.154 0.309 F
```

VASP calculation (GGA-PBE) on crystalline Na2CuF4 at its relaxed geometry.

Results
The uncorrected formation energy comes out at -2.236 eV per atom.

The structure in POSCAR format:
```
Na2CuF4
1.0
6.393 0.000 0.000
0.000 6.393 0.000
0.000 0.000 9.788
Na Cu F
8 4 16
direct
0.000 0.249 0.000 Na
0.000 0.751 0.500 Na
0.249 0.000 0.750 Na
0.264 0.264 0.375 Na
0.264 0.736 0.125 Na
0.736 0.264 0.625 Na
0.736 0.736 0.875 Na
0.751 0.000 0.250 Na
0.243 0.500 0.750 Cu
0.500 0.243 0.000 Cu
0.500 0.757 0.500 Cu
0.757 0.500 0.250 Cu
0.029 0.282 0.755 F
0.029 0.718 0.745 F
0.282 0.029 0.995 F
0.282 0.971 0.505 F
0.283 0.456 0.995 F
0.283 0.544 0.505 F
0.456 0.283 0.755 F
0.456 0.717 0.745 F
0.544 0.283 0.245 F
0.544 0.717 0.255 F
0.717 0.456 0.005 F
0.717 0.544 0.495 F
0.718 0.029 0.005 F
0.718 0.971 0.495 F
0.971 0.282 0.245 F
0.971 0.718 0.255 F
```

VASP calculation (GGA-PBE) on crystalline NaCu4F8 at its relaxed geometry.

Results
The uncorrected formation energy comes out at -1.627 eV per atom.

The structure in POSCAR format:
```
NaCu4F8
1.0
5.468 -2.985 0.000
5.468 2.985 0.000
-4.282 0.000 5.952
Na Cu F
1 4 8
direct
0.000 0.000 0.000 Na
0.250 0.750 0.500 Cu
0.273 0.273 0.008 Cu
0.727 0.727 0.992 Cu
0.750 0.250 0.500 Cu
0.006 0.006 0.328 F
0.024 0.554 0.864 F
0.446 0.976 0.136 F
0.491 0.491 0.667 F
0.509 0.509 0.333 F
0.554 0.024 0.864 F
0.976 0.446 0.136 F
0.994 0.994 0.672 F
```

The evaluated energy above the most stable polymorph in this dataset for the records listed, in turn: 0.102, 0.017, 0.000 eV per atom.
The evaluated V for the records listed, in turn: 15.1, 14.3, 14.9 Å³ per atom.
The evaluated theoretical density for the records listed, in turn: 3.35, 3.08, 3.67 g/cm³.